1.
# VZnCo3, optimized geometry, DFT PBE-GGA
data_VZnCo3
_chemical_formula_sum 'V1 Zn1 Co3'
_space_group_name_H-M_alt 'P m -3 m'
_space_group_IT_number 221
_space_group_name_Hall '-P 4 2 3'
_cell_length_a 4.282
_cell_length_b 4.282
_cell_length_c 4.282
_cell_angle_alpha 90.00
_cell_angle_beta 90.00
_cell_angle_gamma 90.00
loop_
_atom_site_label
_atom_site_type_symbol
_atom_site_fract_x
_atom_site_fract_y
_atom_site_fract_z
V1 V 0.000 0.000 0.000
Zn1 Zn 0.500 0.500 0.500
Co1 Co 0.000 0.500 0.500
# Energy relative to the lowest polymorph listed for this composition: 4.89 eV/f.u.
# Calculated volume: 15.70 Å³/atom
# Formation enthalpy at 0 K: 117 kJ per mole of atoms
# N(E_F): 7.77 states/eV/f.u.



2.
# PmPr3Pd, optimized geometry, DFT PBE-GGA
data_PmPr3Pd
_chemical_formula_sum 'Pm4 Pr12 Pd4'
_space_group_name_H-M_alt 'C 1 2/m 1'
_space_group_IT_number 12
_cell_length_a 12.150
_cell_length_b 8.817
_cell_length_c 8.349
_cell_angle_alpha 90.00
_cell_angle_beta 130.90
_cell_angle_gamma 90.00
loop_
_space_group_symop_operation_xyz
'x,y,z'
'-x,-y,-z'
'-x,y,-z'
'x,-y,z'
'x+1/2,y+1/2,z'
'-x+1/2,-y+1/2,-z'
'-x+1/2,y+1/2,-z'
'x+1/2,-y+1/2,z'
loop_
_atom_site_label
_atom_site_type_symbol
_atom_site_fract_x
_atom_site_fract_y
_atom_site_fract_z
Pm1 Pm 0.068 0.000 0.267
Pr1 Pr 0.041 0.500 0.315
Pr2 Pr 0.215 0.196 0.748
Pd1 Pd 0.234 0.000 0.098
# Energy relative to the lowest polymorph listed for this composition: 0.47 eV/f.u.
# Calculated volume: 33.80 Å³/atom
# Formation enthalpy at 0 K: -21 kJ per mole of atoms
# N(E_F): 7.04 states/eV/f.u.



3.
# KAl3Zn, optimized geometry, DFT PBE-GGA
data_KAl3Zn
_chemical_formula_sum 'K1 Al3 Zn1'
_space_group_name_H-M_alt 'P m -3 m'
_space_group_IT_number 221
_space_group_name_Hall '-P 4 2 3'
_cell_length_a 5.049
_cell_length_b 5.049
_cell_length_c 5.049
_cell_angle_alpha 90.00
_cell_angle_beta 90.00
_cell_angle_gamma 90.00
loop_
_atom_site_label
_atom_site_type_symbol
_atom_site_fract_x
_atom_site_fract_y
_atom_site_fract_z
K1 K 0.000 0.000 0.000
Al1 Al 0.000 0.500 0.500
Zn1 Zn 0.500 0.500 0.500
# Energy relative to the lowest polymorph listed for this composition: 0.00 eV/f.u.
# Calculated volume: 25.75 Å³/atom
# Formation enthalpy at 0 K: 43 kJ per mole of atoms
# N(E_F): 2.94 states/eV/f.u.